(1)
KBe2: optimized geometry, PBE.

Geometry as extended XYZ:
```
3
Lattice="4.979 0.000 0.000 -2.489 4.312 0.000 0.000 0.000 2.519" Properties=species:S:1:pos:R:3 pbc="T T T"
K 0.000 0.000 0.000
Be 0.000 2.874 1.790
Be 2.489 1.437 0.728
```

Output
ΔH_f (0 K)   1.20 eV/atom
Final energy   -1.646 eV/atom
Crystal system   trigonal



(2)
Cs2BeV2: optimized geometry, PBE.

Geometry as extended XYZ:
```
5
Lattice="-1.711 1.711 12.471 1.711 -1.711 12.471 1.711 1.711 -12.471" Properties=species:S:1:pos:R:3 pbc="T T T"
Cs 0.000 0.000 2.651
Cs 0.000 0.000 22.290
Be 0.000 0.000 12.471
V 1.711 0.000 6.235
V 0.000 1.711 6.235
```

Output
ΔH_f (0 K)   1.28 eV/atom
Final energy   -3.454 eV/atom
Crystal system   tetragonal



(3)
BaMnIr: optimized geometry, PBE.

Geometry as extended XYZ:
```
12
Lattice="5.229 0.000 0.000 0.000 4.367 0.000 0.000 0.000 11.921" Properties=species:S:1:pos:R:3 pbc="T T T"
Ba 1.307 0.000 2.575
Ba 1.307 2.183 8.612
Ba 3.921 0.000 9.347
Ba 3.921 2.183 3.310
Mn 0.000 0.000 5.961
Mn 0.000 2.183 0.000
Mn 2.614 0.000 5.961
Mn 2.614 2.183 0.000
Ir 1.307 0.000 11.528
Ir 1.307 2.183 5.580
Ir 3.921 0.000 0.393
Ir 3.921 2.183 6.341
```

Output
ΔH_f (0 K)   0.19 eV/atom
Final energy   -6.460 eV/atom
Crystal system   orthorhombic



(4)
TcMo2Ru: optimized geometry, PBE.

Geometry as extended XYZ:
```
4
Lattice="2.727 -4.355 0.000 2.727 4.355 0.000 -0.917 0.000 2.551" Properties=species:S:1:pos:R:3 pbc="T T T"
Tc 0.000 0.000 0.000
Mo 0.905 2.178 1.276
Mo 0.905 -2.178 1.276
Ru 2.727 0.000 0.000
```

Output
ΔH_f (0 K)   0.17 eV/atom
Final energy   -10.152 eV/atom
Crystal system   monoclinic



(5)
CuAs2P: optimized geometry, PBE.

Geometry as extended XYZ:
```
4
Lattice="0.000 3.212 3.212 3.212 0.000 3.212 3.212 3.212 0.000" Properties=species:S:1:pos:R:3 pbc="T T T"
Cu 0.000 0.000 0.000
As 3.212 3.212 3.212
As 4.818 4.818 4.818
P 1.606 1.606 1.606
```

Output
ΔH_f (0 K)   0.53 eV/atom
Final energy   -4.174 eV/atom
Crystal system   cubic



(6)
Ho2Er5CdRu2: optimized geometry, PBE.

Geometry as extended XYZ:
```
20
Lattice="11.631 0.000 0.000 0.000 11.631 0.000 0.000 0.000 3.850" Properties=species:S:1:pos:R:3 pbc="T T T"
Ho 2.153 3.663 0.000
Ho 3.663 9.478 0.000
Ho 7.969 2.153 0.000
Ho 9.478 7.969 0.000
Er 0.000 5.816 1.925
Er 0.728 9.150 1.925
Er 2.481 0.728 1.925
Er 3.334 6.543 1.925
Er 5.088 3.334 1.925
Er 5.816 0.000 1.925
Er 6.543 8.297 1.925
Er 8.297 5.088 1.925
Er 9.150 10.904 1.925
Er 10.904 2.481 1.925
Cd 0.000 0.000 0.000
Cd 5.816 5.816 0.000
Ru 1.502 7.317 0.000
Ru 4.314 1.502 0.000
Ru 7.317 10.130 0.000
Ru 10.130 4.314 0.000
```

Output
ΔH_f (0 K)   -0.31 eV/atom
Final energy   -5.451 eV/atom
Crystal system   tetragonal



(7)
KGe2I6: optimized geometry, PBE.

Geometry as extended XYZ:
```
18
Lattice="8.277 -6.442 0.000 8.277 6.442 0.000 -4.956 0.000 9.099" Properties=species:S:1:pos:R:3 pbc="T T T"
K 4.560 4.996 6.824
K 7.038 -4.996 2.275
Ge 0.887 1.003 7.193
Ge 3.364 -1.003 2.644
Ge 8.234 1.003 6.455
Ge 10.712 -1.003 1.905
I -1.478 1.366 5.973
I 1.468 3.524 7.840
I 1.000 -1.366 1.424
I 2.646 0.204 5.085
I 5.124 -0.204 0.536
I 7.653 3.524 5.807
I 3.946 -3.524 3.291
I 6.474 0.204 8.562
I 8.952 -0.204 4.013
I 10.598 1.366 7.675
I 10.131 -3.524 1.258
I 13.076 -1.366 3.125
```

Output
Formation energy (no corrections)   -4.52 eV per formula unit
Final energy   -2.683 eV/atom
Crystal system   monoclinic



(8)
MgFe2Co: optimized geometry, PBE.

Geometry as extended XYZ:
```
4
Lattice="2.580 0.000 0.000 0.000 4.114 0.000 -0.968 0.000 4.859" Properties=species:S:1:pos:R:3 pbc="T T T"
Mg 0.000 0.000 0.000
Fe 0.003 2.057 3.550
Fe 1.609 2.057 1.309
Co 0.806 0.000 2.430
```

Output
ΔH_f (0 K)   0.16 eV/atom
Final energy   -6.248 eV/atom
Crystal system   monoclinic



(9)
AcGaTe2: optimized geometry, PBE.

Geometry as extended XYZ:
```
8
Lattice="6.480 0.000 0.000 0.000 4.714 0.000 -3.126 0.000 8.459" Properties=species:S:1:pos:R:3 pbc="T T T"
Ac 0.008 1.178 2.487
Ac 3.346 3.535 5.972
Ga -0.812 1.178 6.918
Ga 4.166 3.535 1.541
Te 1.572 3.535 0.573
Te 0.084 3.535 4.905
Te 3.270 1.178 3.553
Te 1.782 1.178 7.885
```

Output
Formation energy (no corrections)   -4.37 eV per formula unit
Final energy   -4.446 eV/atom
Crystal system   monoclinic



(10)
LiDy3: optimized geometry, PBE.

Geometry as extended XYZ:
```
4
Lattice="-1.866 5.589 2.736 1.866 -5.589 2.736 1.866 5.589 -2.736" Properties=species:S:1:pos:R:3 pbc="T T T"
Li 0.000 0.000 0.000
Dy 1.866 2.522 -0.006
Dy 1.866 0.000 2.735
Dy 0.000 3.067 2.730
```

Output
ΔH_f (0 K)   0.08 eV/atom
Final energy   -3.852 eV/atom
Crystal system   orthorhombic



(11)
LiTcPt3: optimized geometry, PBE.

Geometry as extended XYZ:
```
5
Lattice="4.242 0.000 0.000 0.000 4.242 0.000 0.000 0.000 4.242" Properties=species:S:1:pos:R:3 pbc="T T T"
Li 0.000 0.000 0.000
Tc 2.121 2.121 2.121
Pt 0.000 0.000 2.121
Pt 0.000 2.121 0.000
Pt 2.121 0.000 0.000
```

Output
ΔH_f (0 K)   0.57 eV/atom
Final energy   -5.507 eV/atom
Crystal system   cubic



(12)
SrIn2GeBr6: optimized geometry, PBE.

Geometry as extended XYZ:
```
10
Lattice="3.991 2.304 6.712 -3.991 2.304 6.712 0.000 -4.609 6.712" Properties=species:S:1:pos:R:3 pbc="T T T"
Sr 0.000 0.000 0.000
In 0.000 0.000 5.899
In 0.000 0.000 15.871
Ge 0.000 0.000 10.066
Br -2.217 0.392 8.273
Br -1.592 -1.802 11.534
Br 0.769 -2.116 8.273
Br -0.765 2.280 11.534
Br 1.448 1.724 8.273
Br 2.357 -0.477 11.534
```

Output
Formation energy (no corrections)   -10.39 eV per formula unit
Final energy   -3.220 eV/atom
Crystal system   trigonal



(13)
Ru5Pt: optimized geometry, PBE.

Geometry as extended XYZ:
```
6
Lattice="4.344 0.000 0.000 0.000 1.369 7.144 0.000 -1.369 7.144" Properties=species:S:1:pos:R:3 pbc="T T T"
Ru 0.000 0.000 0.000
Ru 0.000 0.000 4.707
Ru 0.000 0.000 9.498
Ru 2.172 0.000 1.608
Ru 2.172 0.000 11.029
Pt 2.172 0.000 6.319
```

Output
ΔH_f (0 K)   0.01 eV/atom
Final energy   -8.729 eV/atom
Crystal system   orthorhombic



(14)
TlAg2Ru: optimized geometry, PBE.

Geometry as extended XYZ:
```
4
Lattice="2.992 0.000 0.000 0.000 4.073 0.000 0.000 0.000 6.042" Properties=species:S:1:pos:R:3 pbc="T T T"
Tl 0.000 0.000 0.000
Ag 0.000 0.000 3.151
Ag 1.496 2.037 1.765
Ru 1.496 2.037 4.693
```

Output
ΔH_f (0 K)   0.46 eV/atom
Final energy   -3.875 eV/atom
Crystal system   orthorhombic



(15)
YMgSi2: optimized geometry, PBE.

Geometry as extended XYZ:
```
4
Lattice="3.392 0.000 0.000 0.000 3.392 0.000 0.000 0.000 7.098" Properties=species:S:1:pos:R:3 pbc="T T T"
Y 0.000 0.000 0.000
Mg 1.696 1.696 2.470
Si 0.000 0.000 4.195
Si 1.696 1.696 5.190
```

Output
Formation energy (no corrections)   -0.47 eV per formula unit
Final energy   -4.844 eV/atom
Crystal system   tetragonal



(16)
NpFe3I12: optimized geometry, PBE.

Geometry as extended XYZ:
```
32
Lattice="14.605 0.000 0.000 -7.302 12.648 0.000 0.000 0.000 8.248" Properties=species:S:1:pos:R:3 pbc="T T T"
Np 0.000 8.432 2.062
Np 7.302 4.216 6.186
Fe -1.393 5.299 6.186
Fe -2.017 11.205 6.186
Fe 3.892 3.856 2.062
Fe 3.410 8.792 6.186
Fe 9.320 1.443 2.062
Fe 8.695 7.350 2.062
I -3.598 6.368 2.062
I -1.330 2.807 6.186
I -4.207 12.396 6.186
I 1.766 2.555 2.062
I -2.084 9.621 0.050
I -2.084 9.621 4.074
I 0.013 6.033 0.050
I 0.013 6.033 4.074
I 5.231 3.006 4.174
I 5.231 3.006 8.198
I 3.586 6.348 2.062
I 0.012 12.580 2.062
I 7.291 0.069 6.186
I 3.716 6.300 6.186
I 2.072 9.643 0.050
I 2.072 9.643 4.074
I 7.290 6.615 4.174
I 7.290 6.615 8.198
I 9.387 3.027 4.174
I 9.387 3.027 8.198
I 5.537 10.093 6.186
I 11.510 0.252 2.062
I 8.632 9.842 2.062
I 10.900 6.280 6.186
```

Output
Formation energy (no corrections)   -4.40 eV per formula unit
Final energy   -3.833 eV/atom
Crystal system   hexagonal



(17)
Ba2LiCd6Au: optimized geometry, PBE.

Geometry as extended XYZ:
```
10
Lattice="5.263 -5.278 0.000 5.263 5.278 0.000 -5.243 0.000 5.276" Properties=species:S:1:pos:R:3 pbc="T T T"
Ba 5.263 2.638 0.000
Ba 5.263 -2.638 0.000
Li -2.621 0.000 2.638
Cd -0.089 0.000 2.638
Cd -2.614 0.000 5.179
Cd 2.642 2.736 2.638
Cd 2.642 -2.736 2.638
Cd 7.897 0.000 0.097
Cd 5.373 0.000 2.638
Au 2.642 0.000 2.638
```

Output
ΔH_f (0 K)   -0.21 eV/atom
Final energy   -1.664 eV/atom
Crystal system   monoclinic



(18)
Cs2LaMnS4: optimized geometry, PBE.

Geometry as extended XYZ:
```
16
Lattice="5.762 -5.827 0.000 5.762 5.827 0.000 -3.772 0.000 7.747" Properties=species:S:1:pos:R:3 pbc="T T T"
Cs 0.000 0.000 0.000
Cs -1.886 0.000 3.873
Cs 2.881 2.914 0.000
Cs 0.995 -2.914 3.873
La 5.762 0.000 0.000
La 3.876 0.000 3.873
Mn 0.995 2.914 3.873
Mn 2.881 -2.914 0.000
S 3.226 2.696 3.290
S 1.198 0.734 4.939
S 6.412 2.696 0.583
S 3.084 -0.734 1.066
S 4.668 0.734 6.681
S 1.340 -2.696 7.164
S 6.554 -0.734 2.808
S 4.526 -2.696 4.457
```

Output
Formation energy (no corrections)   -9.43 eV per formula unit
Final energy   -5.218 eV/atom
Crystal system   monoclinic



(19)
LiEuCdSi: optimized geometry, PBE.

Geometry as extended XYZ:
```
4
Lattice="0.000 3.538 3.538 3.538 0.000 3.538 3.538 3.538 0.000" Properties=species:S:1:pos:R:3 pbc="T T T"
Li 0.000 0.000 0.000
Eu 3.538 3.538 3.538
Cd 5.308 5.308 5.308
Si 1.769 1.769 1.769
```

Output
Formation energy (no corrections)   -0.91 eV per formula unit
Final energy   -4.860 eV/atom
Crystal system   cubic



(20)
Mg2IrW: optimized geometry, PBE.

Geometry as extended XYZ:
```
4
Lattice="-1.922 1.922 4.449 1.922 -1.922 4.449 1.922 1.922 -4.449" Properties=species:S:1:pos:R:3 pbc="T T T"
Mg 1.922 0.000 2.224
Mg 0.000 1.922 2.224
Ir 0.000 0.000 0.000
W 0.000 0.000 4.449
```

Output
ΔH_f (0 K)   0.21 eV/atom
Final energy   -6.044 eV/atom
Crystal system   tetragonal